Entry 1:
This record from the Alexandria database describes P2BrOF after structural relaxation. The functional is GGA-PBE.

```
data_P2BrOF
_cell_length_a 4.235
_cell_length_b 4.235
_cell_length_c 4.476
_cell_angle_alpha 90.00
_cell_angle_beta 90.00
_cell_angle_gamma 90.00
_space_group_name_H-M_alt 'P 4/m m m'
_space_group_IT_number 123
_space_group_name_Hall '-P 4 2'
loop_
_atom_site_label
_atom_site_type_symbol
_atom_site_fract_x
_atom_site_fract_y
_atom_site_fract_z
P1 P 0.000 0.500 0.000
Br1 Br 0.000 0.000 0.500
O1 O 0.500 0.500 0.500
F1 F 0.500 0.500 0.000
```

Computed properties:
**Calculated density**: 3.7 Mg/m³
**Formation energy without anion corrections**: 1.034 eV per atom
**Relative energy among the computed polymorphs**: 0.00 eV per formula unit

Entry 2:
This record from the Alexandria database describes PBrO2F after structural relaxation. The functional is GGA-PBE.

```
data_PBrO2F
_cell_length_a 4.084
_cell_length_b 4.084
_cell_length_c 4.389
_cell_angle_alpha 90.00
_cell_angle_beta 90.00
_cell_angle_gamma 90.00
_space_group_name_H-M_alt 'P 4/m m m'
_space_group_IT_number 123
_space_group_name_Hall '-P 4 2'
loop_
_atom_site_label
_atom_site_type_symbol
_atom_site_fract_x
_atom_site_fract_y
_atom_site_fract_z
P1 P 0.000 0.000 0.000
Br1 Br 0.500 0.500 0.500
O1 O 0.000 0.500 0.500
F1 F 0.500 0.500 0.000
```

Computed properties:
**Calculated density**: 3.7 Mg/m³
**Formation energy without anion corrections**: 0.831 eV per atom

Entry 3:
This record from the Alexandria database describes Sr10P6BrO24F after structural relaxation. The functional is GGA-PBE.

```
data_Sr10P6BrO24F
_cell_length_a 9.974
_cell_length_b 7.315
_cell_length_c 17.271
_cell_angle_alpha 90.00
_cell_angle_beta 90.00
_cell_angle_gamma 90.00
_space_group_name_H-M_alt 'P 1 21/m 1'
_space_group_IT_number 11
_space_group_name_Hall '-P 2yb'
loop_
_atom_site_label
_atom_site_type_symbol
_atom_site_fract_x
_atom_site_fract_y
_atom_site_fract_z
Sr1 Sr 0.001 0.000 0.332
Sr2 Sr 0.115 0.250 0.877
Sr3 Sr 0.130 0.250 0.119
Sr4 Sr 0.240 0.250 0.504
Sr5 Sr 0.248 0.750 0.995
Sr6 Sr 0.364 0.750 0.368
Sr7 Sr 0.374 0.750 0.635
Sr8 Sr 0.498 0.000 0.836
P1 P 0.111 0.750 0.519
P2 P 0.167 0.750 0.803
P3 P 0.215 0.750 0.182
P4 P 0.279 0.250 0.312
P5 P 0.330 0.250 0.706
P6 P 0.384 0.250 0.985
Br1 Br 0.500 0.000 0.500
O1 O 0.027 0.250 0.438
O2 O 0.090 0.578 0.831
O3 O 0.091 0.750 0.429
O4 O 0.096 0.750 0.241
O5 O 0.147 0.250 0.263
O6 O 0.166 0.750 0.712
O7 O 0.188 0.250 0.669
O8 O 0.188 0.577 0.547
O9 O 0.210 0.578 0.129
O10 O 0.274 0.077 0.364
O11 O 0.303 0.078 0.960
O12 O 0.314 0.750 0.833
O13 O 0.322 0.250 0.796
O14 O 0.352 0.750 0.226
O15 O 0.406 0.250 0.259
O16 O 0.407 0.250 0.075
O17 O 0.412 0.077 0.682
O18 O 0.479 0.750 0.059
F1 F 0.003 0.750 0.000
```

Computed properties:
**Calculated density**: 4.1 Mg/m³
**Formation energy without anion corrections**: -2.941 eV per atom
**Relative energy among the computed polymorphs**: 0.00 eV per formula unit

Entry 4:
This record from the Alexandria database describes Sr10P6BrO24F after structural relaxation. The functional is GGA-PBE.

```
data_Sr10P6BrO24F
_cell_length_a 9.9697
_cell_length_b 9.9697
_cell_length_c 7.3268
_cell_angle_alpha 90.00
_cell_angle_beta 90.00
_cell_angle_gamma 120.00
_space_group_name_H-M_alt 'P 3'
_space_group_IT_number 143
_space_group_name_Hall 'P 3'
loop_
_atom_site_label
_atom_site_type_symbol
_atom_site_fract_x
_atom_site_fract_y
_atom_site_fract_z
Sr1 Sr 0.0000 0.0000 0.0000
Sr2 Sr 0.0000 0.0000 0.4942
Sr3 Sr 0.3333 0.6667 0.0141
Sr4 Sr 0.3333 0.6667 0.5099
Sr5 Sr 0.4053 0.0584 0.7507
Sr6 Sr 0.4221 0.3273 0.2606
P1 P 0.0316 0.7313 0.7597
P2 P 0.0738 0.3659 0.2571
Br1 Br 0.6667 0.3333 0.9371
O1 O 0.0010 0.1868 0.2569
O2 O 0.0169 0.4193 0.4255
O3 O 0.0283 0.4221 0.0818
O4 O 0.0887 0.2114 0.7322
O5 O 0.1479 0.6691 0.7633
O6 O 0.1961 0.7456 0.2665
O7 O 0.2991 0.2393 0.9407
O8 O 0.3453 0.2598 0.5999
F1 F 0.6667 0.3333 0.3556
```

Computed properties:
**Calculated density**: 4.1 Mg/m³
**Formation energy without anion corrections**: -2.933 eV per atom
**Relative energy among the computed polymorphs**: 0.32 eV per formula unit

Entry 5:
This record from the Alexandria database describes PbBrOF2 after structural relaxation. The functional is GGA-PBE.

```
data_PbBrOF2
_cell_length_a 4.655
_cell_length_b 4.655
_cell_length_c 4.119
_cell_angle_alpha 90.00
_cell_angle_beta 90.00
_cell_angle_gamma 90.00
_space_group_name_H-M_alt 'P 4/m m m'
_space_group_IT_number 123
_space_group_name_Hall '-P 4 2'
loop_
_atom_site_label
_atom_site_type_symbol
_atom_site_fract_x
_atom_site_fract_y
_atom_site_fract_z
Pb1 Pb 0.000 0.000 0.000
Br1 Br 0.500 0.500 0.500
O1 O 0.500 0.500 0.000
F1 F 0.000 0.500 0.500
```

Computed properties:
**Calculated density**: 6.3 Mg/m³
**Formation energy without anion corrections**: -0.512 eV per atom
**Relative energy among the computed polymorphs**: 1.69 eV per formula unit

Entry 6:
This record from the Alexandria database describes PbBrOF2 after structural relaxation. The functional is GGA-PBE.

```
data_PbBrOF2
_cell_length_a 4.523
_cell_length_b 4.523
_cell_length_c 4.381
_cell_angle_alpha 90.00
_cell_angle_beta 90.00
_cell_angle_gamma 90.00
_space_group_name_H-M_alt 'P 4/m m m'
_space_group_IT_number 123
_space_group_name_Hall '-P 4 2'
loop_
_atom_site_label
_atom_site_type_symbol
_atom_site_fract_x
_atom_site_fract_y
_atom_site_fract_z
Pb1 Pb 0.000 0.000 0.000
Br1 Br 0.500 0.500 0.500
O1 O 0.000 0.000 0.500
F1 F 0.000 0.500 0.000
```

Computed properties:
**Calculated density**: 6.3 Mg/m³
**Formation energy without anion corrections**: -0.851 eV per atom
**Relative energy among the computed polymorphs**: 0.00 eV per formula unit

Entry 7:
This record from the Alexandria database describes PdBrOF2 after structural relaxation. The functional is GGA-PBE.

```
data_PdBrOF2
_cell_length_a 4.140
_cell_length_b 4.140
_cell_length_c 4.145
_cell_angle_alpha 90.00
_cell_angle_beta 90.00
_cell_angle_gamma 90.00
_space_group_name_H-M_alt 'P 4/m m m'
_space_group_IT_number 123
_space_group_name_Hall '-P 4 2'
loop_
_atom_site_label
_atom_site_type_symbol
_atom_site_fract_x
_atom_site_fract_y
_atom_site_fract_z
Pd1 Pd 0.000 0.000 0.000
Br1 Br 0.500 0.500 0.500
O1 O 0.000 0.000 0.500
F1 F 0.000 0.500 0.000
```

Computed properties:
**Calculated density**: 5.6 Mg/m³
**Formation energy without anion corrections**: -0.237 eV per atom
**Relative energy among the computed polymorphs**: 0.00 eV per formula unit

Entry 8:
This record from the Alexandria database describes PdBrOF2 after structural relaxation. The functional is GGA-PBE.

```
data_PdBrOF2
_cell_length_a 4.690
_cell_length_b 4.690
_cell_length_c 3.717
_cell_angle_alpha 90.00
_cell_angle_beta 90.00
_cell_angle_gamma 90.00
_space_group_name_H-M_alt 'P 4/m m m'
_space_group_IT_number 123
_space_group_name_Hall '-P 4 2'
loop_
_atom_site_label
_atom_site_type_symbol
_atom_site_fract_x
_atom_site_fract_y
_atom_site_fract_z
Pd1 Pd 0.000 0.000 0.000
Br1 Br 0.500 0.500 0.500
O1 O 0.500 0.500 0.000
F1 F 0.000 0.500 0.500
```

Computed properties:
**Calculated density**: 4.9 Mg/m³
**Formation energy without anion corrections**: 0.209 eV per atom
**Relative energy among the computed polymorphs**: 2.23 eV per formula unit

Entry 9:
This record from the Alexandria database describes PmBrO4F after structural relaxation. The functional is GGA-PBE.

```
data_PmBrO4F
_cell_length_a 9.633
_cell_length_b 7.560
_cell_length_c 7.023
_cell_angle_alpha 90.00
_cell_angle_beta 106.32
_cell_angle_gamma 90.00
_space_group_name_H-M_alt 'C 1 2/m 1'
_space_group_IT_number 12
_space_group_name_Hall '-C 2y'
loop_
_atom_site_label
_atom_site_type_symbol
_atom_site_fract_x
_atom_site_fract_y
_atom_site_fract_z
Pm1 Pm 0.204 0.000 0.104
Br1 Br 0.153 0.500 0.281
O1 O 0.024 0.500 0.729
O2 O 0.205 0.319 0.126
O3 O 0.250 0.000 0.478
F1 F 0.012 0.000 0.824
```

Computed properties:
**Calculated density**: 4.2 Mg/m³
**Formation energy without anion corrections**: -1.295 eV per atom

Entry 10:
This record from the Alexandria database describes PtBrO2F after structural relaxation. The functional is GGA-PBE.

```
data_PtBrO2F
_cell_length_a 4.000
_cell_length_b 4.000
_cell_length_c 4.319
_cell_angle_alpha 90.00
_cell_angle_beta 90.00
_cell_angle_gamma 90.00
_space_group_name_H-M_alt 'P 4/m m m'
_space_group_IT_number 123
_space_group_name_Hall '-P 4 2'
loop_
_atom_site_label
_atom_site_type_symbol
_atom_site_fract_x
_atom_site_fract_y
_atom_site_fract_z
Pt1 Pt 0.000 0.000 0.000
Br1 Br 0.500 0.500 0.500
O1 O 0.000 0.500 0.000
F1 F 0.000 0.000 0.500
```

Computed properties:
**Calculated density**: 7.8 Mg/m³
**Formation energy without anion corrections**: 0.130 eV per atom

Entry 11:
This record from the Alexandria database describes PtBrO2F after structural relaxation. The functional is GGA-PBE.

```
data_PtBrO2F
_cell_length_a 4.014
_cell_length_b 4.014
_cell_length_c 4.435
_cell_angle_alpha 90.00
_cell_angle_beta 90.00
_cell_angle_gamma 90.00
_space_group_name_H-M_alt 'P 4/m m m'
_space_group_IT_number 123
_space_group_name_Hall '-P 4 2'
loop_
_atom_site_label
_atom_site_type_symbol
_atom_site_fract_x
_atom_site_fract_y
_atom_site_fract_z
Pt1 Pt 0.000 0.000 0.000
Br1 Br 0.500 0.500 0.500
O1 O 0.000 0.500 0.500
F1 F 0.500 0.500 0.000
```

Computed properties:
**Calculated density**: 7.6 Mg/m³
**Formation energy without anion corrections**: 0.938 eV per atom

Entry 12:
This record from the Alexandria database describes PtBr2OF after structural relaxation. The functional is GGA-PBE.

```
data_PtBr2OF
_cell_length_a 4.658
_cell_length_b 4.658
_cell_length_c 3.754
_cell_angle_alpha 90.00
_cell_angle_beta 90.00
_cell_angle_gamma 90.00
_space_group_name_H-M_alt 'P 4/m m m'
_space_group_IT_number 123
_space_group_name_Hall '-P 4 2'
loop_
_atom_site_label
_atom_site_type_symbol
_atom_site_fract_x
_atom_site_fract_y
_atom_site_fract_z
Pt1 Pt 0.000 0.000 0.000
Br1 Br 0.000 0.500 0.500
O1 O 0.500 0.500 0.500
F1 F 0.500 0.500 0.000
```

Computed properties:
**Calculated density**: 8.0 Mg/m³
**Formation energy without anion corrections**: 0.683 eV per atom